Entry from the Alexandria database: a relaxed Li2V3P4O14 crystal (PBE with a Hubbard U).

Calculated values
Offset from the most stable computed form in kJ per mole of atoms: 3.0
Electronic total energy in eV per atom: -7.26
V in A^3/atom: 11.4

abc: 5.598 7.033 7.478
angles: 74.25 82.96 67.30
Fractional coordinates of all 23 atoms:
Li1 0.145 0.026 0.190
Li2 0.855 0.974 0.810
V1 0.305 0.487 0.188
V2 0.500 0.000 0.500
V3 0.695 0.513 0.812
P1 0.152 0.687 0.568
P2 0.305 0.265 0.844
P3 0.695 0.735 0.156
P4 0.848 0.313 0.432
O1 0.052 0.265 0.948
O2 0.130 0.223 0.357
O3 0.171 0.728 0.358
O4 0.236 0.435 0.642
O5 0.339 0.755 0.649
O6 0.452 0.345 0.950
O7 0.470 0.063 0.783
O8 0.530 0.937 0.217
O9 0.548 0.655 0.050
O10 0.661 0.245 0.351
O11 0.764 0.565 0.358
O12 0.829 0.272 0.642
O13 0.870 0.777 0.643
O14 0.948 0.735 0.052